Material: NaAcPa
Method: DFT, GGA-PBE
State: optimized geometry

Cell: 5.4201 5.4201 5.4201 Å, 60.00 60.00 60.00°
Last column: nearest neighbours and their distance in Å.
Atoms (fractional coordinates):
Pa 0.7500 0.7500 0.7500  4 Na 3.32
Ac 0.2500 0.2500 0.2500  4 Na 3.32
Na 0.0000 0.0000 0.0000  4 Ac 3.32, 4 Pa 3.32

Results
Distance to the lowest polymorph of the same formula ... 0 kJ/mol of formula units
Total magnetic moment ... 3.1 μB/cell